A plane-wave DFT calculation with PBE was carried out for a relaxed structure of Ba3TiBe.

Computed properties:
Final energy ... -13.1 eV per cell
ΔH_f (0 K) ... 4.31 eV per formula unit
D(E_F) ... 8.27 states/eV/cell
Energy above the most stable polymorph in this dataset ... 0 meV/atom
Space group ... Pm-3m, No. 221

The structure in POSCAR format:
```
Ba3TiBe
1.0
6.186 0.000 0.000
0.000 6.186 0.000
0.000 0.000 6.186
Ba Ti Be
3 1 1
direct
0.000 0.000 0.500 Ba
0.000 0.500 0.000 Ba
0.500 0.000 0.000 Ba
0.500 0.500 0.500 Ti
0.000 0.000 0.000 Be
```


A plane-wave DFT calculation with PBE was carried out for a relaxed structure of K2HgTe2O6.

Computed properties:
Final energy ... -50.7 eV per cell
D(E_F) ... 0.00 states/eV/cell
Space group ... C2/m, No. 12

The structure in POSCAR format:
```
K2HgTe2O6
1.0
4.348 -3.501 0.000
4.348 3.501 0.000
-2.705 0.000 8.098
K Hg Te O
2 1 2 6
direct
0.212 0.212 0.213 K
0.788 0.788 0.787 K
0.000 0.000 0.500 Hg
0.378 0.378 0.776 Te
0.622 0.622 0.224 Te
0.246 0.246 0.543 O
0.279 0.696 0.222 O
0.304 0.721 0.778 O
0.696 0.279 0.222 O
0.721 0.304 0.778 O
0.754 0.754 0.457 O
```


A plane-wave DFT calculation with PBE was carried out for a relaxed structure of BaCoCl5.

Computed properties:
Final energy ... -54.7 eV per cell
D(E_F) ... 13.41 states/eV/cell
Space group ... P1, No. 1

The structure in POSCAR format:
```
BaCoCl5
1.0
7.538 0.000 0.000
-0.876 7.492 0.000
-3.475 -3.611 9.666
Ba Co Cl
2 2 10
direct
0.000 0.000 0.000 Ba
0.000 0.500 0.500 Ba
0.419 0.169 0.750 Co
0.580 0.831 0.250 Co
0.093 0.343 0.250 Cl
0.246 0.917 0.569 Cl
0.276 0.829 0.201 Cl
0.348 0.178 0.931 Cl
0.373 0.425 0.701 Cl
0.627 0.575 0.299 Cl
0.652 0.822 0.069 Cl
0.723 0.170 0.798 Cl
0.752 0.083 0.430 Cl
0.907 0.656 0.751 Cl
```


A plane-wave DFT calculation with PBE was carried out for a relaxed structure of YBi2P.

Computed properties:
Final energy ... -37.8 eV per cell
ΔH_f (0 K) ... 0.74 eV per formula unit
D(E_F) ... 0.46 states/eV/cell
Space group ... I-42d, No. 122

The structure in POSCAR format:
```
YBi2P
1.0
-3.395 3.395 6.718
3.395 -3.395 6.718
3.395 3.395 -6.718
Y Bi P
2 4 2
direct
0.000 0.000 0.000 Y
0.750 0.250 0.500 Y
0.166 0.625 0.041 Bi
0.375 0.416 0.541 Bi
0.584 0.125 0.959 Bi
0.875 0.834 0.459 Bi
0.250 0.750 0.500 P
0.500 0.500 0.000 P
```


A plane-wave DFT calculation with PBE was carried out for a relaxed structure of Ga2Sn2Bi.

Computed properties:
Final energy ... -17.5 eV per cell
ΔH_f (0 K) ... 0.44 eV per formula unit
D(E_F) ... 2.82 states/eV/cell
Energy above the most stable polymorph in this dataset ... 24 meV/atom
Space group ... I4/mmm, No. 139

The structure in POSCAR format:
```
Ga2Sn2Bi
1.0
-1.959 1.959 8.446
1.959 -1.959 8.446
1.959 1.959 -8.446
Ga Sn Bi
2 2 1
direct
0.250 0.750 0.500 Ga
0.750 0.250 0.500 Ga
0.112 0.112 0.000 Sn
0.888 0.888 0.000 Sn
0.500 0.500 0.000 Bi
```


A plane-wave DFT calculation with PBE was carried out for a relaxed structure of Cd2HgMo.

Computed properties:
Final energy ... -11.1 eV per cell
ΔH_f (0 K) ... 1.82 eV per formula unit
D(E_F) ... 3.07 states/eV/cell
Space group ... Pm, No. 6

The structure in POSCAR format:
```
Cd2HgMo
1.0
2.930 0.000 0.000
0.000 4.624 0.000
-1.458 0.000 5.828
Cd Hg Mo
2 1 1
direct
0.000 0.000 0.000 Cd
0.380 0.500 0.766 Cd
0.140 0.500 0.290 Hg
0.743 0.000 0.496 Mo
```